(1)
## Li4ZrCd (PBE-GGA)

Data for crystalline Li4ZrCd at its relaxed geometry.

Computed properties:
Space group: F-43m
Formation energy, meV/atom: 117

Cell: 5.304 5.304 5.304 Å, 60.00 60.00 60.00°
Atoms (fractional coordinates):
Li: 0.376 0.376 0.376
Li: 0.376 0.376 0.873
Li: 0.376 0.873 0.376
Li: 0.873 0.376 0.376
Zr: 0.000 0.000 0.000
Cd: 0.750 0.750 0.750

(2)
## BiSe (PBE-GGA)

Data for crystalline BiSe at its relaxed geometry.

Computed properties:
ΔE_f (raw), eV per atom: -0.15
Space group: Fm-3m
Energy relative to the lowest polymorph listed for this composition, kJ per mole of atoms: 16.40

Cell: 4.358 4.358 4.358 Å, 60.00 60.00 60.00°
Atoms (fractional coordinates):
Bi: 0.000 0.000 0.000
Se: 0.500 0.500 0.500

(3)
## Ce3Nd4ThSe8 (PBE-GGA)

Data for crystalline Ce3Nd4ThSe8 at its relaxed geometry.

Computed properties:
ΔE_f (raw), eV per atom: -1.80
Space group: R-3m

Cell: 8.444 8.444 8.444 Å, 59.82 59.82 59.82°
Atoms (fractional coordinates):
Ce: 0.000 0.500 0.500
Ce: 0.500 0.000 0.500
Ce: 0.500 0.500 0.000
Nd: 0.000 0.000 0.500
Nd: 0.000 0.500 0.000
Nd: 0.500 0.000 0.000
Nd: 0.500 0.500 0.500
Th: 0.000 0.000 0.000
Se: 0.250 0.250 0.749
Se: 0.250 0.749 0.250
Se: 0.251 0.251 0.251
Se: 0.251 0.750 0.750
Se: 0.749 0.250 0.250
Se: 0.749 0.749 0.749
Se: 0.750 0.251 0.750
Se: 0.750 0.750 0.251

(4)
## CsRbC3 (PBE-GGA)

Data for crystalline CsRbC3 at its relaxed geometry.

Computed properties:
Space group: Pm-3m
Energy relative to the lowest polymorph listed for this composition, kJ per mole of atoms: 0.00
Formation energy, meV/atom: 3343

Cell: 5.825 5.825 5.825 Å, 90.00 90.00 90.00°
Atoms (fractional coordinates):
Cs: 0.000 0.000 0.000
Rb: 0.500 0.500 0.500
C: 0.000 0.500 0.500
C: 0.500 0.000 0.500
C: 0.500 0.500 0.000

(5)
## CsAsSe2I (PBE-GGA)

Data for crystalline CsAsSe2I at its relaxed geometry.

Computed properties:
ΔE_f (raw), eV per atom: 1.16
Space group: P4/mmm
Energy relative to the lowest polymorph listed for this composition, kJ per mole of atoms: 87.83

Cell: 5.844 5.844 8.964 Å, 90.00 90.00 90.00°
Atoms (fractional coordinates):
Cs: 0.000 0.000 0.000
As: 0.000 0.000 0.500
Se: 0.000 0.500 0.000
Se: 0.500 0.000 0.000
I: 0.500 0.500 0.500

(6)
## Mg3AsN (PBE-GGA)

Data for crystalline Mg3AsN at its relaxed geometry.

Computed properties:
ΔE_f (raw), eV per atom: -0.04
Space group: I-4m2

Cell: 7.024 7.024 7.024 Å, 131.14 131.14 71.59°
Atoms (fractional coordinates):
Mg: 0.131 0.131 0.000
Mg: 0.372 0.619 0.752
Mg: 0.381 0.133 0.752
Mg: 0.381 0.628 0.248
Mg: 0.867 0.619 0.248
Mg: 0.869 0.869 0.000
As: 0.640 0.140 0.500
As: 0.860 0.360 0.500
N: 0.250 0.750 0.500
N: 0.500 0.500 0.000